A relaxed Ho2AlZn4Ga3 crystal. Source: Alexandria, functional GGA-PBE.

Values from the calculation:
ρ = 7.54 g/cm³
Size of the total moment = 0.00 μB/cell
E_form = -393 kJ/mol of formula units
Space group = No. 115
Fermi-level density of states = 0.227 states/eV/atom

Cell: 4.1106 4.1106 10.7881 Å, 90.00 90.00 90.00°
With the nearest neighbours (Å) after each atom.
Fractional coordinates of all 10 atoms:
Ga 0.0000 0.5000 0.1378  5 Zn 2.39-2.54
Ga 0.5000 0.0000 0.8622  5 Zn 2.39-2.54
Ho 0.0000 0.5000 0.7520  6 Ga 3.14-3.41, 8 Zn 3.14-3.37, 2 Al 3.41
Zn 0.0000 0.0000 0.0000  4 Ga 2.54
Zn 0.0000 0.5000 0.3590  3 Ga 2.39-2.56, 2 Al 2.56
Al 0.5000 0.5000 0.5000  4 Zn 2.56
Ho 0.5000 0.0000 0.2480  6 Ga 3.14-3.41, 8 Zn 3.14-3.37, 2 Al 3.41
Zn 0.5000 0.0000 0.6410  3 Ga 2.39-2.56, 2 Al 2.56
Ga 0.0000 0.0000 0.5000  4 Zn 2.56
Zn 0.5000 0.5000 0.0000  4 Ga 2.54



A relaxed LaNdPb crystal. Source: Alexandria, functional GGA-PBE.

Values from the calculation:
ρ = 8.18 g/cm³
Size of the total moment = 0.00 μB/cell
E_form = -78 kJ/mol of formula units
Space group = No. 156
Fermi-level density of states = 1.095 states/eV/atom

Cell: 3.9766 5.3758 5.3758 Å, 120.00 90.00 90.00°
With the nearest neighbours (Å) after each atom.
Fractional coordinates of all 3 atoms:
Pb 0.7002 0.6667 0.3333  3 Nd 3.24, 3 La 3.38
La 0.3658 0.3333 0.6667  3 Pb 3.38, 3 Nd 3.55
Nd 0.9340 0.0000 0.0000  3 Pb 3.24, 3 La 3.55



A relaxed TaTeP2 crystal. Source: Alexandria, functional GGA-PBE.

Values from the calculation:
ρ = 6.55 g/cm³
Size of the total moment = 0.00 μB/cell
Space group = No. 35
VASP energy = -6.02 eV/atom
Fermi-level density of states = 0.646 states/eV/atom

Cell: 3.4714 3.4714 9.3321 Å, 90.00 90.00 123.41°
With the nearest neighbours (Å) after each atom.
Fractional coordinates of all 4 atoms:
P 0.0000 0.0000 0.1000  2 P 2.16
Te 0.5000 0.5000 0.6908  2 Ta 2.71
P 0.5000 0.5000 0.2497  2 P 2.16
Ta 0.0000 0.0000 0.4595  2 P 2.56, 2 Te 2.71



A relaxed Tb2Pm4NdHo crystal. Source: Alexandria, functional GGA-PBE.

Values from the calculation:
ρ = 7.50 g/cm³
Size of the total moment = 0.00 μB/cell
E_form = 12 kJ/mol of formula units
Space group = No. 10
Fermi-level density of states = 1.424 states/eV/atom

Cell: 3.6243 6.2546 11.9778 Å, 79.79 90.00 90.00°
With the nearest neighbours (Å) after each atom.
Fractional coordinates of all 8 atoms:
Pm 0.0000 0.7516 0.7475  3 Tb 3.59-3.64, 1 Ho 3.59, 6 Pm 3.61-3.62, 2 Nd 3.64
Nd 0.5000 0.5000 0.0000  4 Tb 3.61, 2 Nd 3.62, 6 Pm 3.63-3.64
Tb 0.0000 0.0000 0.0000  4 Nd 3.61, 2 Tb 3.62, 6 Pm 3.63-3.64
Pm 0.5000 0.7492 0.2519  2 Ho 3.59, 3 Tb 3.60-3.63, 6 Pm 3.61-3.62, 1 Nd 3.63
Ho 0.0000 0.5000 0.5000  6 Pm 3.59, 4 Tb 3.61, 2 Ho 3.62
Pm 0.5000 0.2508 0.7481  2 Ho 3.59, 3 Tb 3.60-3.63, 6 Pm 3.61-3.62, 1 Nd 3.63
Tb 0.5000 0.0000 0.5000  6 Pm 3.59-3.60, 4 Ho 3.61, 2 Tb 3.62
Pm 0.0000 0.2484 0.2525  3 Tb 3.59-3.64, 1 Ho 3.59, 6 Pm 3.61-3.62, 2 Nd 3.64



A relaxed Ce3Cu2Ni4 crystal. Source: Alexandria, functional GGA-PBE.

Values from the calculation:
ρ = 8.18 g/cm³
Size of the total moment = 0.81 μB/cell
E_form = -222 kJ/mol of formula units
Space group = No. 12
Fermi-level density of states = 1.571 states/eV/atom

Cell: 4.0468 5.6809 8.1932 Å, 113.73 90.00 110.87°
With the nearest neighbours (Å) after each atom.
Fractional coordinates of all 9 atoms:
Ni 0.9283 0.8565 0.5879  3 Cu 2.45-2.71, 1 Ni 2.51
Cu 0.3386 0.6773 0.6710  4 Ni 2.45-2.71
Ce 0.6411 0.2822 0.6914  7 Ni 2.79-2.90, 3 Cu 2.97-3.07
Ce 0.0000 0.0000 0.0000  8 Ni 2.95-3.26, 4 Cu 3.21
Ni 0.2821 0.5642 0.9358  1 Cu 2.49, 2 Ni 2.51, 2 Ce 2.79
Ni 0.0717 0.1435 0.4121  3 Cu 2.45-2.71, 1 Ni 2.51
Cu 0.6614 0.3227 0.3290  4 Ni 2.45-2.71
Ce 0.3589 0.7178 0.3086  7 Ni 2.79-2.90, 3 Cu 2.97-3.07
Ni 0.7179 0.4358 0.0642  1 Cu 2.49, 2 Ni 2.51, 2 Ce 2.79



A relaxed MgSiIr2 crystal. Source: Alexandria, functional GGA-PBE.

Values from the calculation:
ρ = 12.22 g/cm³
Size of the total moment = 0.00 μB/cell
Space group = No. 44
VASP energy = -6.56 eV/atom
Fermi-level density of states = 0.474 states/eV/atom

Cell: 5.5356 5.5356 5.5356 Å, 149.31 136.40 54.26°
With the nearest neighbours (Å) after each atom.
Fractional coordinates of all 4 atoms:
Ir 0.0317 0.0317 0.0000  2 Si 2.37, 4 Mg 2.58
Mg 0.4770 0.4770 0.0000  4 Ir 2.58
Ir 0.7702 0.2702 0.5000  4 Si 2.57
Si 0.2211 0.7211 0.5000  6 Ir 2.37-2.57